A plane-wave DFT calculation with PBE-GGA was carried out for a relaxed LiMgTl2 crystal. Values from VASP.

## Properties
Formation energy from the elements ... 2 kJ/mol of atoms
V ... 25.59 A^3/atom
Uncorrected energy ... -0.0751 Ha/atom

The structure in Quantum ESPRESSO input format:
```
&SYSTEM
  ibrav = 0, nat = 8, ntyp = 3
/
ATOMIC_SPECIES
Li 6.94 Li.upf
Tl 204.38 Tl.upf
Mg 24.30 Mg.upf
CELL_PARAMETERS angstrom
7.897 0.000 0.000
0.000 7.897 0.000
3.948 3.948 3.283
ATOMIC_POSITIONS angstrom
Li 3.948 3.948 0.000
Li 3.948 7.897 1.641
Tl 5.923 6.054 2.462
Tl 5.792 1.974 0.821
Tl 9.871 9.740 2.462
Tl 2.105 5.923 0.821
Mg 0.000 0.000 0.000
Mg 7.897 3.948 1.641
```



A plane-wave DFT calculation with PBE-GGA was carried out for a relaxed LiMg2Tl3 crystal. Values from VASP.

## Properties
Formation energy from the elements ... -11 kJ/mol of atoms
V ... 23.64 A^3/atom
Uncorrected energy ... -0.0789 Ha/atom

The structure in Quantum ESPRESSO input format:
```
&SYSTEM
  ibrav = 0, nat = 6, ntyp = 3
/
ATOMIC_SPECIES
Li 6.94 Li.upf
Tl 204.38 Tl.upf
Mg 24.30 Mg.upf
CELL_PARAMETERS angstrom
-2.677 1.322 -1.950
-0.831 -3.292 -1.092
-6.895 -1.142 8.690
ATOMIC_POSITIONS angstrom
Li -5.201 -1.555 2.824
Tl 0.000 0.000 0.000
Tl -4.522 -0.749 5.699
Tl -2.373 -0.393 2.991
Mg -7.456 -1.929 5.666
Mg -2.946 -1.182 -0.018
```



A plane-wave DFT calculation with PBE-GGA was carried out for a relaxed Li2Mg2Tl crystal. Values from VASP.

## Properties
Formation energy from the elements ... 5 kJ/mol of atoms
V ... 23.49 A^3/atom
Polymorph energy (0 for the lowest one) ... 116 meV/atom
Uncorrected energy ... -0.0670 Ha/atom

The structure in Quantum ESPRESSO input format:
```
&SYSTEM
  ibrav = 0, nat = 5, ntyp = 3
/
ATOMIC_SPECIES
Tl 204.38 Tl.upf
Li 6.94 Li.upf
Mg 24.30 Mg.upf
CELL_PARAMETERS angstrom
3.887 0.000 0.000
0.000 3.887 0.000
1.944 1.944 7.773
ATOMIC_POSITIONS angstrom
Tl 0.000 0.000 0.000
Li 1.944 3.887 3.886
Li 3.887 1.944 3.886
Mg 3.887 3.887 6.191
Mg 1.944 1.944 1.582
```